Record 1
Computed, not measured: a relaxed structure of LaPm4Ni4 at the PBE-GGA level of DFT.

The structure in extended XYZ format:
```
18
Lattice="8.6522 0.0000 0.0000 0.0000 8.6522 0.0000 0.0000 0.0000 5.8785" Properties=species:S:1:pos:R:3 pbc="T T T"
La 2.1631 2.1631 1.4696
La 6.4892 6.4892 4.4089
Pm 0.5382 5.7553 0.9065
Pm 1.4292 8.1140 3.8458
Pm 2.8969 4.8643 3.8458
Pm 3.7879 7.2230 0.9065
Pm 4.8643 1.4292 4.9720
Pm 5.7553 3.7879 2.0327
Pm 7.2230 0.5382 2.0327
Pm 8.1140 2.8969 4.9720
Ni 0.2182 5.3333 3.7363
Ni 1.0071 8.4340 0.7971
Ni 3.3190 4.5444 0.7971
Ni 4.1079 7.6451 3.7363
Ni 4.5444 1.0071 2.1422
Ni 5.3333 4.1079 5.0814
Ni 7.6451 0.2182 5.0814
Ni 8.4340 3.3190 2.1422
```

Computed properties:
D(E_F) in states/eV/f.u.: 8.0
Space-group type: No. 86
Energy of formation from the pure elements in eV per atom: -0.209
Calculated density in g cm⁻³: 7.2
Magnetization in μB per atom: 0.000

***

Record 2
Computed, not measured: a relaxed structure of La3PmNi2 at the PBE-GGA level of DFT.

The structure in extended XYZ format:
```
12
Lattice="8.3483 -2.0284 0.0000 8.3483 2.0284 0.0000 -6.8881 0.0000 9.9476" Properties=species:S:1:pos:R:3 pbc="T T T"
La -1.6742 0.0000 4.4594
La -5.0266 0.0000 9.3903
La 0.6164 0.0000 7.4268
La 9.1922 0.0000 2.5208
La 14.8352 0.0000 0.5574
La 11.4828 0.0000 5.4883
Pm 4.0218 0.0000 2.4735
Pm 5.7868 0.0000 7.4741
Ni 1.4065 0.0000 4.4185
Ni -2.0662 0.0000 9.4363
Ni 11.8748 0.0000 0.5114
Ni 8.4021 0.0000 5.5291
```

Computed properties:
D(E_F) in states/eV/f.u.: 8.0
Space-group type: No. 12
Energy of formation from the pure elements in eV per atom: -0.230
Calculated density in g cm⁻³: 6.7
Magnetization in μB per atom: 0.000

***

Record 3
Computed, not measured: a relaxed structure of LaPm3Ni2 at the PBE-GGA level of DFT.

The structure in extended XYZ format:
```
12
Lattice="8.3873 -2.0690 0.0000 8.3873 2.0690 0.0000 -6.4615 0.0000 10.0448" Properties=species:S:1:pos:R:3 pbc="T T T"
La -0.2114 0.0000 1.8844
La 10.5244 0.0000 8.1604
Pm -0.4566 0.0000 5.6473
Pm -0.8576 0.0000 9.4074
Pm 5.2704 0.0000 3.1423
Pm 5.0427 0.0000 6.9025
Pm 11.1706 0.0000 0.6374
Pm 10.7696 0.0000 4.3975
Ni -3.5330 0.0000 8.7871
Ni 2.3002 0.0000 6.2614
Ni 8.0128 0.0000 3.7834
Ni 13.8460 0.0000 1.2577
```

Computed properties:
D(E_F) in states/eV/f.u.: 7.1
Space-group type: No. 12
Energy of formation from the pure elements in eV per atom: -0.142
Calculated density in g cm⁻³: 6.6
Magnetization in μB per atom: 0.000

***

Record 4
Computed, not measured: a relaxed structure of LaPm4Ni at the PBE-GGA level of DFT.

The structure in extended XYZ format:
```
12
Lattice="8.9155 -3.7215 0.0000 8.9155 3.7215 0.0000 -2.0811 0.0000 5.7269" Properties=species:S:1:pos:R:3 pbc="T T T"
La 3.1175 0.0000 1.1288
La 12.6323 0.0000 4.5981
Pm 6.0602 1.8554 2.2038
Pm 8.9155 1.9878 0.0000
Pm 4.0691 0.0000 4.7182
Pm 9.6896 1.8554 3.5231
Pm 6.0602 -1.8554 2.2038
Pm 11.6807 0.0000 1.0087
Pm 8.9155 -1.9878 0.0000
Pm 9.6896 -1.8554 3.5231
Ni 8.2850 0.0000 1.7289
Ni 7.4649 0.0000 3.9979
```

Computed properties:
D(E_F) in states/eV/f.u.: 9.3
Space-group type: No. 12
Energy of formation from the pure elements in eV per atom: -0.048
Calculated density in g cm⁻³: 6.8
Magnetization in μB per atom: 0.000

***

Record 5
Computed, not measured: a relaxed structure of LaPmNi17 at the PBE-GGA level of DFT.

The structure in extended XYZ format:
```
19
Lattice="4.1881 2.4180 4.0501 -4.1881 2.4180 4.0501 0.0000 -4.8360 4.0501" Properties=species:S:1:pos:R:3 pbc="T T T"
La 0.0000 0.0000 0.0000
Pm 0.0000 0.0000 3.8732
Ni 0.0000 -2.4395 2.0702
Ni -2.1126 1.2197 2.0702
Ni -2.0870 -1.2049 5.9685
Ni 0.0000 -2.3907 5.8381
Ni -2.0704 1.1953 5.8381
Ni -1.2074 -2.0975 7.9978
Ni -2.4202 0.0031 7.9978
Ni 2.1126 1.2197 2.0702
Ni 0.0000 0.0000 6.8002
Ni 2.0870 -1.2049 5.9685
Ni 0.0000 2.4099 5.9685
Ni 1.2074 -2.0975 7.9978
Ni -1.2128 2.0944 7.9978
Ni 0.0000 0.0000 9.1895
Ni 2.0704 1.1953 5.8381
Ni 2.4202 0.0031 7.9978
Ni 1.2128 2.0944 7.9978
```

Computed properties:
D(E_F) in states/eV/f.u.: 26.4
Space-group type: No. 160
Energy of formation from the pure elements in eV per atom: -0.164
Calculated density in g cm⁻³: 8.6
Magnetization in μB per atom: 0.377

***

Record 6
Computed, not measured: a relaxed structure of LaPmNi at the PBE-GGA level of DFT.

The structure in extended XYZ format:
```
6
Lattice="3.5512 0.0000 0.0000 1.7728 6.5083 0.0000 0.0004 1.2192 7.0306" Properties=species:S:1:pos:R:3 pbc="T T T"
La 0.8890 1.7953 0.4793
La 4.4354 5.9322 6.5514
Pm 0.8879 2.2349 4.1024
Pm 4.4366 5.4925 2.9283
Ni 2.6621 4.3352 4.8984
Ni 2.6623 3.3923 2.1322
```

Computed properties:
D(E_F) in states/eV/f.u.: 3.4
Space-group type: No. 2
Energy of formation from the pure elements in eV per atom: -0.161
Calculated density in g cm⁻³: 7.0
Magnetization in μB per atom: 0.000

***

Record 7
Computed, not measured: a relaxed structure of La3Pm4Ni2 at the PBE-GGA level of DFT.

The structure in extended XYZ format:
```
9
Lattice="8.3717 -1.8836 0.0000 8.3717 1.8836 0.0000 -3.9917 0.0000 8.5823" Properties=species:S:1:pos:R:3 pbc="T T T"
La 0.0000 0.0000 0.0000
La 3.5665 0.0000 5.2624
La 9.1853 0.0000 3.3199
Pm -1.2165 0.0000 5.9022
Pm 1.5101 0.0000 8.1013
Pm 11.2416 0.0000 0.4810
Pm 13.9683 0.0000 2.6801
Ni 3.2519 0.0000 2.5367
Ni 9.4998 0.0000 6.0457
```

Computed properties:
D(E_F) in states/eV/f.u.: 10.6
Space-group type: No. 12
Energy of formation from the pure elements in eV per atom: -0.111
Calculated density in g cm⁻³: 6.8
Magnetization in μB per atom: 0.000

***

Record 8
Computed, not measured: a relaxed structure of La3PmNi3 at the PBE-GGA level of DFT.

The structure in extended XYZ format:
```
14
Lattice="4.7549 -5.1230 0.0000 4.7549 5.1230 0.0000 -0.5383 0.0000 7.1790" Properties=species:S:1:pos:R:3 pbc="T T T"
La 4.7549 3.1984 0.0000
La 4.4858 2.4821 3.5895
La 3.0699 0.0000 0.8735
La 5.9017 0.0000 6.3055
La 4.4858 -2.4821 3.5895
La 4.7549 -3.1984 0.0000
Pm 1.9469 0.0000 4.4844
Pm 7.0246 0.0000 2.6946
Ni 2.0527 2.1692 2.1570
Ni 0.3883 0.0000 2.1468
Ni 2.0527 -2.1692 2.1570
Ni 6.9189 2.1692 5.0220
Ni 8.5832 0.0000 5.0322
Ni 6.9189 -2.1692 5.0220
```

Computed properties:
D(E_F) in states/eV/f.u.: 5.9
Space-group type: No. 12
Energy of formation from the pure elements in eV per atom: -0.244
Calculated density in g cm⁻³: 7.0
Magnetization in μB per atom: 0.000

***

Record 9
Computed, not measured: a relaxed structure of LaPmNi4 at the PBE-GGA level of DFT.

The structure in extended XYZ format:
```
6
Lattice="3.9177 0.0000 0.0000 0.0000 4.0799 0.0000 0.0000 0.0000 7.0530" Properties=species:S:1:pos:R:3 pbc="T T T"
La 0.0000 0.0000 0.0000
Pm 0.0000 2.0400 3.5265
Ni 1.9589 0.0000 2.3637
Ni 1.9589 0.0000 4.6893
Ni 1.9589 2.0400 1.1925
Ni 1.9589 2.0400 5.8605
```

Computed properties:
D(E_F) in states/eV/f.u.: 7.6
Space-group type: No. 47
Energy of formation from the pure elements in eV per atom: -0.324
Calculated density in g cm⁻³: 7.6
Magnetization in μB per atom: 0.000

***

Record 10
Computed, not measured: a relaxed structure of La2Pm3Ni2 at the PBE-GGA level of DFT.

The structure in extended XYZ format:
```
7
Lattice="6.1221 -1.8844 0.0000 6.1221 1.8844 0.0000 -3.5933 0.0000 8.5080" Properties=species:S:1:pos:R:3 pbc="T T T"
La 0.9731 0.0000 2.5886
La 7.6778 0.0000 5.9194
Pm 4.4211 0.0000 0.6540
Pm 4.3255 0.0000 4.2540
Pm 4.2298 0.0000 7.8540
Ni -0.6107 0.0000 6.1740
Ni 9.2616 0.0000 2.3340
```

Computed properties:
D(E_F) in states/eV/f.u.: 9.0
Space-group type: No. 12
Energy of formation from the pure elements in eV per atom: -0.194
Calculated density in g cm⁻³: 7.0
Magnetization in μB per atom: 0.000

***

Record 11
Computed, not measured: a relaxed structure of La2PmNi2 at the PBE-GGA level of DFT.

The structure in extended XYZ format:
```
5
Lattice="2.2457 -7.2012 0.0000 2.2457 7.2012 0.0000 0.0000 0.0000 3.9394" Properties=species:S:1:pos:R:3 pbc="T T T"
La 2.2457 5.0495 0.0000
La 2.2457 -5.0495 0.0000
Pm 2.2457 0.0000 1.9697
Ni 2.2457 2.9040 1.9697
Ni 2.2457 -2.9040 1.9697
```

Computed properties:
D(E_F) in states/eV/f.u.: 4.0
Space-group type: No. 65
Energy of formation from the pure elements in eV per atom: -0.246
Calculated density in g cm⁻³: 7.0
Magnetization in μB per atom: 0.000

***

Record 12
Computed, not measured: a relaxed structure of LaPmNi at the PBE-GGA level of DFT.

The structure in extended XYZ format:
```
3
Lattice="0.0000 3.4788 3.4788 3.4788 0.0000 3.4788 3.4788 3.4788 0.0000" Properties=species:S:1:pos:R:3 pbc="T T T"
La 0.0000 0.0000 0.0000
Pm 3.4788 3.4788 3.4788
Ni 1.7394 1.7394 1.7394
```

Computed properties:
D(E_F) in states/eV/f.u.: 5.6
Space-group type: No. 216
Energy of formation from the pure elements in eV per atom: -0.052
Calculated density in g cm⁻³: 6.8
Magnetization in μB per atom: 0.001

***

Please write out number 12 again, unchanged.
Computed, not measured: a relaxed structure of LaPmNi at the PBE-GGA level of DFT.

The structure in extended XYZ format:
```
3
Lattice="0.0000 3.4788 3.4788 3.4788 0.0000 3.4788 3.4788 3.4788 0.0000" Properties=species:S:1:pos:R:3 pbc="T T T"
La 0.0000 0.0000 0.0000
Pm 3.4788 3.4788 3.4788
Ni 1.7394 1.7394 1.7394
```

Computed properties:
D(E_F) in states/eV/f.u.: 5.6
Space-group type: No. 216
Energy of formation from the pure elements in eV per atom: -0.052
Calculated density in g cm⁻³: 6.8
Magnetization in μB per atom: 0.001